1.
{"formula": "NbRe3Pd", "functional": "PBE", "state": "relaxed", "lattice": [[-4.6352, 0.1141, -0.2058], [0.1686, -1.2208, -4.4745], [-0.1641, -4.4763, 1.2151]], "species": ["Re", "Re", "Re", "Nb", "Pd"], "fractional_positions": [[0.0000, 0.5000, 0.0000], [0.0000, 0.0000, 0.5000], [0.5000, 0.0000, 0.0000], [0.5000, 0.5000, 0.5000], [0.0000, 0.0000, 0.0000]], "space_group": "Pm-3m", "dos_ef_per_ev_atom": 2.094, "rho_g_cm3": 12.59, "formation_enthalpy_0k_mev_per_atom": 2387, "crystal_system": "cubic", "e_above_lowest_polymorph_ev_per_atom": 0.018, "energy_ev_per_atom": -8.13}

---

2.
{"formula": "NbRe3Pd", "functional": "PBE", "state": "relaxed", "lattice": [[4.7080, 0.0000, 0.0000], [0.0000, 4.7080, 0.0000], [0.0000, 0.0000, 4.7080]], "species": ["Re", "Re", "Re", "Nb", "Pd"], "fractional_positions": [[0.0000, 0.5000, 0.0000], [0.0000, 0.0000, 0.5000], [0.5000, 0.0000, 0.0000], [0.0000, 0.0000, 0.0000], [0.5000, 0.5000, 0.5000]], "space_group": "Pm-3m", "dos_ef_per_ev_atom": 1.381, "rho_g_cm3": 12.06, "formation_enthalpy_0k_mev_per_atom": 2370, "crystal_system": "cubic", "e_above_lowest_polymorph_ev_per_atom": 0.000, "energy_ev_per_atom": -8.15}

---

3.
{"formula": "NbRe2Pd", "functional": "PBE", "state": "relaxed", "lattice": [[-0.1925, -3.0984, 2.1838], [-0.8671, -2.0927, -3.0455], [8.7858, -4.2448, -1.9497]], "species": ["Re", "Re", "Re", "Re", "Nb", "Nb", "Pd", "Pd"], "fractional_positions": [[0.6580, 0.1250, 0.2500], [0.0920, 0.6250, 0.2500], [0.3750, 0.3420, 0.7500], [0.8750, 0.9080, 0.7500], [0.5000, 0.5000, 0.0000], [0.2500, 0.7500, 0.5000], [0.0000, 0.0000, 0.0000], [0.7500, 0.2500, 0.5000]], "space_group": "I-42d", "dos_ef_per_ev_atom": 1.190, "rho_g_cm3": 13.76, "formation_enthalpy_0k_mev_per_atom": 618, "crystal_system": "tetragonal", "e_above_lowest_polymorph_ev_per_atom": 0.668, "energy_ev_per_atom": -9.42}

---

4.
{"formula": "Nb2Re2Pd", "functional": "PBE", "state": "relaxed", "lattice": [[4.2749, 0.0000, 0.0000], [0.0000, 4.2749, 0.0000], [2.1375, 2.1375, 5.3537]], "species": ["Re", "Re", "Nb", "Nb", "Pd"], "fractional_positions": [[0.3863, 0.3863, 0.2275], [0.6137, 0.6137, 0.7725], [0.7500, 0.2500, 0.5000], [0.2500, 0.7500, 0.5000], [0.0000, 0.0000, 0.0000]], "space_group": "I4/mmm", "dos_ef_per_ev_atom": 1.307, "rho_g_cm3": 11.28, "formation_enthalpy_0k_mev_per_atom": 682, "crystal_system": "tetragonal", "energy_ev_per_atom": -9.36}

---

5.
{"formula": "Nb2RePd2", "functional": "PBE", "state": "relaxed", "lattice": [[-5.5634, -1.9249, 5.0058], [-4.3210, -2.6635, -5.8265], [1.1491, -2.5298, 0.3043]], "species": ["Re", "Re", "Nb", "Nb", "Nb", "Nb", "Pd", "Pd", "Pd", "Pd"], "fractional_positions": [[0.0000, 0.0000, 0.0000], [0.5000, 0.5000, 0.0000], [0.1779, 0.6779, 0.5000], [0.6779, 0.8221, 0.5000], [0.8221, 0.3221, 0.5000], [0.3221, 0.1779, 0.5000], [0.3787, 0.8787, 0.0000], [0.8787, 0.6213, 0.0000], [0.6213, 0.1213, 0.0000], [0.1213, 0.3787, 0.0000]], "space_group": "P4/mbm", "dos_ef_per_ev_atom": 0.895, "rho_g_cm3": 11.64, "formation_enthalpy_0k_mev_per_atom": 92, "crystal_system": "tetragonal", "energy_ev_per_atom": -8.50}

---

6.
{"formula": "Nb3RePd", "functional": "PBE", "state": "relaxed", "lattice": [[-2.9758, -1.3774, 3.5402], [3.6886, -2.1228, 2.2746], [0.9081, 4.1088, 2.3620]], "species": ["Re", "Nb", "Nb", "Nb", "Pd"], "fractional_positions": [[0.0000, 0.0000, 0.0000], [0.0000, 0.5000, 0.0000], [0.0000, 0.0000, 0.5000], [0.5000, 0.0000, 0.0000], [0.5000, 0.5000, 0.5000]], "space_group": "Pm-3m", "dos_ef_per_ev_atom": 1.060, "rho_g_cm3": 8.44, "formation_enthalpy_0k_mev_per_atom": 1150, "crystal_system": "cubic", "e_above_lowest_polymorph_ev_per_atom": 0.000, "energy_ev_per_atom": -8.42}